# 1
Compound: Ba2ZrCu
Source: Alexandria via LeMat-Bulk
Functional: PBE-GGA
Structure: optimized geometry

Calculated values
offset from the most stable computed form: 465 meV per atom

Cell lengths 9.227, 9.227, 6.526 Å; angles 90.00, 90.00, 90.00 degrees
Atoms (fractional coordinates):
Ba 0.194 0.250 0.125
Ba 0.250 0.694 0.375
Ba 0.250 0.806 0.875
Ba 0.306 0.250 0.625
Ba 0.694 0.750 0.625
Ba 0.750 0.194 0.875
Ba 0.750 0.306 0.375
Ba 0.806 0.750 0.125
Zr 0.000 0.000 0.500
Zr 0.000 0.500 0.750
Zr 0.500 0.000 0.250
Zr 0.500 0.500 0.000
Cu 0.000 0.000 0.000
Cu 0.000 0.500 0.250
Cu 0.500 0.000 0.750
Cu 0.500 0.500 0.500



# 2
Compound: ZnHg2Ir
Source: Alexandria via LeMat-Bulk
Functional: PBE-GGA
Structure: optimized geometry

Calculated values
VASP energy: -2.253 eV/atom

Cell lengths 3.013, 3.013, 8.101 Å; angles 90.00, 90.00, 90.00 degrees
Atoms (fractional coordinates):
Zn 0.000 0.000 0.000
Hg 0.500 0.500 0.258
Hg 0.500 0.500 0.742
Ir 0.000 0.000 0.500



# 3
Compound: MgCdSeS
Source: Alexandria via LeMat-Bulk
Functional: PBE-GGA
Structure: optimized geometry

Calculated values
formation energy without anion corrections: -0.979 eV/atom

Cell lengths 4.202, 4.202, 20.668 Å; angles 90.00, 90.00, 120.00 degrees
Atoms (fractional coordinates):
Mg 0.000 0.000 0.000
Mg 0.333 0.667 0.667
Mg 0.667 0.333 0.333
Cd 0.000 0.000 0.490
Cd 0.333 0.667 0.157
Cd 0.667 0.333 0.824
Se 0.000 0.000 0.874
Se 0.333 0.667 0.541
Se 0.667 0.333 0.208
S 0.000 0.000 0.366
S 0.333 0.667 0.033
S 0.667 0.333 0.699



# 4
Compound: LiFeSbIr
Source: Alexandria via LeMat-Bulk
Functional: PBE-GGA
Structure: optimized geometry

Calculated values
formation energy without anion corrections: -0.125 eV/atom

Cell lengths 6.248, 6.248, 6.248 Å; angles 90.00, 90.00, 90.00 degrees
Atoms (fractional coordinates):
Li 0.000 0.000 0.000
Li 0.000 0.500 0.500
Li 0.500 0.000 0.500
Li 0.500 0.500 0.000
Fe 0.250 0.250 0.750
Fe 0.250 0.750 0.250
Fe 0.750 0.250 0.250
Fe 0.750 0.750 0.750
Sb 0.250 0.250 0.250
Sb 0.250 0.750 0.750
Sb 0.750 0.250 0.750
Sb 0.750 0.750 0.250
Ir 0.000 0.000 0.500
Ir 0.000 0.500 0.000
Ir 0.500 0.000 0.000
Ir 0.500 0.500 0.500



# 5
Compound: CeAgPd6
Source: Alexandria via LeMat-Bulk
Functional: PBE-GGA
Structure: optimized geometry

Calculated values
offset from the most stable computed form: 266 meV per atom

Cell lengths 8.257, 5.398, 7.204 Å; angles 90.00, 106.93, 90.00 degrees
Atoms (fractional coordinates):
Ce 0.000 0.000 0.000
Ce 0.500 0.500 0.000
Ag 0.000 0.500 0.500
Ag 0.500 0.000 0.500
Pd 0.139 0.000 0.437
Pd 0.206 0.243 0.800
Pd 0.206 0.757 0.800
Pd 0.294 0.257 0.200
Pd 0.294 0.743 0.200
Pd 0.361 0.500 0.563
Pd 0.639 0.500 0.437
Pd 0.706 0.257 0.800
Pd 0.706 0.743 0.800
Pd 0.794 0.243 0.200
Pd 0.794 0.757 0.200
Pd 0.861 0.000 0.563



# 6
Compound: HoTePd
Source: Alexandria via LeMat-Bulk
Functional: PBE-GGA
Structure: optimized geometry

Calculated values
formation energy without anion corrections: -0.969 eV/atom

Cell lengths 4.521, 4.521, 3.900 Å; angles 90.00, 90.00, 120.00 degrees
Atoms (fractional coordinates):
Ho 0.000 0.000 0.000
Te 0.667 0.333 0.515
Pd 0.333 0.667 0.449



# 7
Compound: CsLi2AcBr6
Source: Alexandria via LeMat-Bulk
Functional: PBE-GGA
Structure: optimized geometry

Calculated values
formation energy without anion corrections: -1.777 eV/atom

Cell lengths 7.270, 7.279, 9.751 Å; angles 90.05, 111.75, 119.96 degrees
Atoms (fractional coordinates):
Cs 0.000 0.000 0.000
Li 0.341 0.169 0.513
Li 0.657 0.828 0.487
Ac 0.999 0.499 0.500
Br 0.121 0.205 0.681
Br 0.236 0.442 0.319
Br 0.474 0.916 0.681
Br 0.524 0.083 0.319
Br 0.762 0.557 0.681
Br 0.878 0.795 0.319



# 8
Compound: Tm4Ge3Rh
Source: Alexandria via LeMat-Bulk
Functional: PBE-GGA
Structure: optimized geometry

Calculated values
VASP energy: -5.736 eV/atom

Cell lengths 3.980, 4.113, 10.620 Å; angles 90.00, 90.00, 90.00 degrees
Atoms (fractional coordinates):
Tm 0.000 0.000 0.000
Tm 0.000 0.500 0.487
Tm 0.500 0.000 0.711
Tm 0.500 0.500 0.216
Ge 0.000 0.500 0.767
Ge 0.500 0.000 0.435
Ge 0.500 0.500 0.934
Rh 0.000 0.000 0.270



# 9
Compound: FeSi2Cl
Source: Alexandria via LeMat-Bulk
Functional: PBE-GGA
Structure: optimized geometry

Calculated values
offset from the most stable computed form: 315 meV per atom
formation energy without anion corrections: 0.412 eV/atom

Cell lengths 5.618, 5.618, 10.639 Å; angles 90.00, 90.00, 90.00 degrees
Atoms (fractional coordinates):
Fe 0.000 0.000 0.000
Fe 0.000 0.500 0.250
Fe 0.500 0.000 0.750
Fe 0.500 0.500 0.500
Si 0.168 0.250 0.125
Si 0.250 0.668 0.375
Si 0.250 0.832 0.875
Si 0.332 0.250 0.625
Si 0.668 0.750 0.625
Si 0.750 0.168 0.875
Si 0.750 0.332 0.375
Si 0.832 0.750 0.125
Cl 0.000 0.000 0.500
Cl 0.000 0.500 0.750
Cl 0.500 0.000 0.250
Cl 0.500 0.500 0.000



# 10
Compound: CsSeBr3
Source: Alexandria via LeMat-Bulk
Functional: PBE-GGA
Structure: optimized geometry

Calculated values
formation energy without anion corrections: -0.733 eV/atom

Cell lengths 7.005, 7.746, 8.870 Å; angles 102.14, 109.97, 94.91 degrees
Atoms (fractional coordinates):
Cs 0.000 0.000 0.000
Cs 0.191 0.565 0.480
Se 0.454 0.133 0.627
Se 0.738 0.432 0.852
Br 0.067 0.051 0.480
Br 0.124 0.514 0.999
Br 0.423 0.952 0.846
Br 0.487 0.199 0.367
Br 0.705 0.366 0.112
Br 0.768 0.614 0.634



# 11
Compound: AcTlS14
Source: Alexandria via LeMat-Bulk
Functional: PBE-GGA
Structure: optimized geometry

Calculated values
formation energy without anion corrections: -0.200 eV/atom

Cell lengths 10.875, 10.875, 10.323 Å; angles 115.73, 115.73, 63.81 degrees
Atoms (fractional coordinates):
Ac 0.000 0.000 0.000
Ac 0.000 0.000 0.500
Tl 0.349 0.651 0.750
Tl 0.651 0.349 0.250
S 0.007 0.722 0.036
S 0.091 0.665 0.471
S 0.103 0.123 0.349
S 0.123 0.103 0.849
S 0.187 0.525 0.305
S 0.222 0.741 0.136
S 0.243 0.462 0.748
S 0.259 0.778 0.364
S 0.278 0.993 0.464
S 0.335 0.909 0.029
S 0.367 0.373 0.406
S 0.373 0.367 0.906
S 0.462 0.243 0.248
S 0.475 0.813 0.195
S 0.525 0.187 0.805
S 0.538 0.757 0.752
S 0.627 0.633 0.094
S 0.633 0.627 0.594
S 0.665 0.091 0.971
S 0.722 0.007 0.536
S 0.741 0.222 0.636
S 0.757 0.538 0.252
S 0.778 0.259 0.864
S 0.813 0.475 0.695
S 0.877 0.897 0.151
S 0.897 0.877 0.651
S 0.909 0.335 0.529
S 0.993 0.278 0.964



# 12
Compound: CsCaRh2
Source: Alexandria via LeMat-Bulk
Functional: PBE-GGA
Structure: optimized geometry

Calculated values
offset from the most stable computed form: 44 meV per atom

Cell lengths 7.142, 7.142, 7.142 Å; angles 90.00, 90.00, 90.00 degrees
Atoms (fractional coordinates):
Cs 0.000 0.000 0.000
Cs 0.000 0.500 0.500
Cs 0.500 0.000 0.500
Cs 0.500 0.500 0.000
Ca 0.000 0.000 0.500
Ca 0.000 0.500 0.000
Ca 0.500 0.000 0.000
Ca 0.500 0.500 0.500
Rh 0.250 0.250 0.250
Rh 0.250 0.250 0.750
Rh 0.250 0.750 0.250
Rh 0.250 0.750 0.750
Rh 0.750 0.250 0.250
Rh 0.750 0.250 0.750
Rh 0.750 0.750 0.250
Rh 0.750 0.750 0.750